1.
Below is a relaxed structure of CsAgW3, with properties calculated at the PBE-GGA level.

abc: 5.0906 5.0906 5.0906
angles: 90.00 90.00 90.00
Site moments in Bohr magnetons follow the coordinates.
Atoms (fractional coordinates):
Cs1 0.5000 0.5000 0.5000  0.11
Ag1 0.0000 0.0000 0.0000  0.15
W1 0.0000 0.5000 0.0000  1.43
W2 0.0000 0.0000 0.5000  1.59
W3 0.5000 0.0000 0.0000  1.27

As for the mass density: 10.0 Mg/m³.

2.
Below is a relaxed structure of CsAgW3, with properties calculated at the PBE-GGA level.

abc: 4.9072 4.9072 4.9072
angles: 90.00 90.00 90.00
Atoms (fractional coordinates):
Cs1 0.0000 0.0000 0.0000
Ag1 0.5000 0.5000 0.5000
W1 0.0000 0.5000 0.0000
W2 0.0000 0.0000 0.5000
W3 0.5000 0.0000 0.0000

As for the mass density: 11.1 Mg/m³.

Pick 1: it beats the second-best structure by 71.7 kJ/mol of atoms.

1.
Below is a relaxed structure of CsY3Ag, with properties calculated at the PBE-GGA level.

abc: 5.6004 5.6004 5.6004
angles: 90.00 90.00 90.00
Atoms (fractional coordinates):
Cs1 0.0000 0.0000 0.0000
Y1 0.0000 0.5000 0.0000
Y2 0.0000 0.0000 0.5000
Y3 0.5000 0.0000 0.0000
Ag1 0.5000 0.5000 0.5000

As for the mass density: 4.8 Mg/m³.

2.
Below is a relaxed structure of CsY3Ag, with properties calculated at the PBE-GGA level.

abc: 5.7902 5.7902 5.7902
angles: 90.00 90.00 90.00
Atoms (fractional coordinates):
Cs1 0.5000 0.5000 0.5000
Y1 0.0000 0.5000 0.0000
Y2 0.0000 0.0000 0.5000
Y3 0.5000 0.0000 0.0000
Ag1 0.0000 0.0000 0.0000

As for the mass density: 4.3 Mg/m³.

Pick 2: it beats the second-best structure by 91.6 kJ/mol of atoms.

1.
Below is a relaxed structure of Cs2YAg, with properties calculated at the PBE-GGA level.

abc: 6.6069 6.6069 6.6069
angles: 60.00 60.00 60.00
Site moments in Bohr magnetons follow the coordinates.
Atoms (fractional coordinates):
Cs1 0.2500 0.2500 0.2500  0.03
Cs2 0.7500 0.7500 0.7500  0.03
Y1 0.0000 0.0000 0.0000  0.70
Ag1 0.5000 0.5000 0.5000  0.00

As for the mass density: 3.8 Mg/m³.

2.
Below is a relaxed structure of Cs2YAg, with properties calculated at the PBE-GGA level.

abc: 9.9292 9.9292 9.9292
angles: 94.89 94.89 146.06
Atoms (fractional coordinates):
Cs1 0.0179 0.3750 0.1429
Cs2 0.2321 0.8750 0.8571
Cs3 0.1250 0.9821 0.3571
Cs4 0.6250 0.7679 0.6429
Y1 0.5000 0.5000 0.0000
Y2 0.7500 0.2500 0.5000
Ag1 0.0000 0.0000 0.0000
Ag2 0.2500 0.7500 0.5000

As for the mass density: 2.9 Mg/m³.

Pick 2: it beats the second-best structure by 23.9 kJ/mol of atoms.